Here is a relaxed structure of Rb2Na3MoO6 from Alexandria. Energies are from PBE+U.

The value obtained for the density of states at the Fermi level is 0.786 states/eV/atom. The space group is C2/m, No. 12. The total energy comes out at -5.0290 eV per atom.

Lattice parameters (Å, degrees): 6.7780 6.7780 5.7881 100.10 100.10 123.71
Each line ends with the local moment (μB).
Fractional positions:
1 Rb 0.3256 0.6744 0.0000  0.00
2 Rb 0.6744 0.3256 0.0000  0.00
3 Na 0.1252 0.8748 0.5000  0.00
4 Na 0.8748 0.1252 0.5000  0.00
5 Na 0.5000 0.5000 0.5000  0.00
6 Mo 0.0000 0.0000 0.0000  -0.13
7 O 0.9261 0.6960 0.7741  0.18
8 O 0.8053 0.8053 0.1920  0.13
9 O 0.0739 0.3040 0.2259  0.18
10 O 0.6960 0.9261 0.7741  0.18
11 O 0.1947 0.1947 0.8080  0.13
12 O 0.3040 0.0739 0.2259  0.18